Material: Ba8P2Pd
Method: DFT, PBE
State: optimized geometry

Output
- M_tot: 0.0 Bohr magnetons per cell
- Crystal system: monoclinic
- ΔH_f (0 K): -0.48 eV per atom
- Space-group type: C2/m (12)

```
11
Lattice="7.312 -5.576 0.000 7.312 5.576 0.000 -0.123 0.000 6.898" Properties=species:S:1:pos:R:3 pbc="T T T"
Ba 5.694 3.129 5.021
Ba 2.518 0.000 5.275
Ba 8.807 3.129 1.877
Ba 5.732 0.000 1.667
Ba 8.769 0.000 5.231
Ba 5.694 -3.129 5.021
Ba 11.983 0.000 1.623
Ba 8.807 -3.129 1.877
P 5.662 0.000 5.012
P 8.839 0.000 1.886
Pd -0.062 0.000 3.449
```



Material: SiPtAu3
Method: DFT, PBE
State: optimized geometry

Output
- M_tot: 0.0 Bohr magnetons per cell
- Crystal system: cubic
- Space-group type: Pm-3m (221)
- Energy above the lowest structure with this stoichiometry: 0.4687 eV per atom

```
5
Lattice="5.049 0.000 0.000 0.000 5.049 0.000 0.000 0.000 5.049" Properties=species:S:1:pos:R:3 pbc="T T T"
Si 0.000 0.000 0.000
Pt 2.525 2.525 2.525
Au 0.000 2.525 2.525
Au 2.525 0.000 2.525
Au 2.525 2.525 0.000
```



Material: TbPmPr2Dy4
Method: DFT, PBE
State: optimized geometry

Output
- M_tot: 0.0 Bohr magnetons per cell
- Crystal system: monoclinic
- ΔH_f (0 K): 0.02 eV per atom
- Space-group type: P2/m (10)

```
8
Lattice="5.095 0.000 0.000 0.000 5.122 0.000 -0.008 0.000 10.111" Properties=species:S:1:pos:R:3 pbc="T T T"
Tb 0.000 0.000 0.000
Pm 2.544 2.561 5.056
Pr -0.004 0.000 5.056
Pr 2.547 2.561 0.000
Dy 5.093 2.561 2.516
Dy -0.006 2.561 7.595
Dy 2.544 0.000 2.512
Dy 2.543 0.000 7.599
```



Material: Ac3La2Zn2Pd4
Method: DFT, PBE
State: optimized geometry

Output
- M_tot: 0.0 Bohr magnetons per cell
- Crystal system: trigonal
- ΔH_f (0 K): -0.63 eV per atom
- Space-group type: P-3m1 (164)

```
11
Lattice="4.541 0.000 0.000 -2.270 3.933 0.000 0.000 0.000 17.201" Properties=species:S:1:pos:R:3 pbc="T T T"
Ac 0.000 0.000 0.000
Ac 0.000 0.000 4.114
Ac 0.000 0.000 13.087
La 0.000 2.622 9.921
La 2.270 1.311 7.279
Zn 0.000 2.622 2.076
Zn 2.270 1.311 15.125
Pd 0.000 2.622 5.944
Pd 0.000 2.622 15.153
Pd 2.270 1.311 2.048
Pd 2.270 1.311 11.257
```